A geometry-optimized Ba2CoRu3O12 structure, computed with PBE with a Hubbard U.

a = 7.2298 Å, b = 7.2298 Å, c = 16.5304 Å
α = 90.00°, β = 90.00°, γ = 120.00°
Closest atoms and distances in Å follow each position.
Space group R-3m (No. 166, hexagonal axes)
Asymmetric unit:
Ba: 0.0000 0.0000 0.1488 (multiplicity 6)  9 O 2.88-3.18
Co: 0.0000 0.0000 0.5000 (multiplicity 3)  6 O 1.85
Ru: 0.0000 0.5000 0.0000 (multiplicity 9)  6 O 1.86-1.98
O: 0.0726 0.5363 0.3663 (multiplicity 18)  2 Ru 1.98
O: 0.0802 0.5401 0.1086 (multiplicity 18)  1 Co 1.85, 1 Ru 1.86

N(E_F): 0.534 states/eV per atom
Electronic total energy: -0.4866 Ry per atom